VASP calculation (GGA-PBEsol) on a geometry-optimized La3GdCl4O4 structure.

CIF file:
```
data_La3GdCl4O4
_symmetry_space_group_name_H-M 'P 1'
_symmetry_Int_Tables_number 1
_symmetry_space_group_name_Hall 'P 1'
_cell_length_a 4.029
_cell_length_b 6.798
_cell_length_c 8.055
_cell_angle_alpha 90.00
_cell_angle_beta 90.00
_cell_angle_gamma 90.00
loop_
_atom_site_label
_atom_site_type_symbol
_atom_site_fract_x
_atom_site_fract_y
_atom_site_fract_z
Gd1 Gd 0.000 0.166 0.000
La1 La 0.500 0.823 0.752
La2 La 0.500 0.823 0.248
La3 La 0.000 0.181 0.500
Cl1 Cl 0.000 0.632 0.500
Cl2 Cl 0.500 0.368 0.755
Cl3 Cl 0.500 0.368 0.245
Cl4 Cl 0.000 0.624 0.000
O1 O 0.500 0.001 0.500
O2 O 0.000 0.003 0.756
O3 O 0.000 0.003 0.244
O4 O 0.500 0.006 0.000
```

Uncorrected formation energy = -3172 meV per atom
ρ = 5.87 g/cm³
Total energy = -97.58 eV per cell